No. 1
A plane-wave DFT calculation with meta-GGA SCAN was carried out for a crystal of Rb2MgScGa relaxed with PBEsol.

The structure in CIF format:
```
data_Rb2MgScGa
_chemical_formula_sum 'Rb2 Mg1 Sc1 Ga1'
_space_group_name_H-M_alt 'P 1'
_space_group_IT_number 1
_cell_length_a 6.533
_cell_length_b 6.533
_cell_length_c 5.815
_cell_angle_alpha 90.00
_cell_angle_beta 90.00
_cell_angle_gamma 90.00
loop_
_space_group_symop_operation_xyz
'x,y,z'
loop_
_atom_site_label
_atom_site_fract_x
_atom_site_fract_y
_atom_site_fract_z
Rb1 0.000 0.500 0.000
Rb2 0.500 0.000 0.000
Mg1 0.000 0.000 0.000
Sc1 0.000 0.000 0.500
Ga1 0.500 0.500 0.500
```

Values from the calculation:
- uncorrected energy (eV/atom) = -14.47
- space group = No. 123
- energy relative to the elements (eV per atom) = 0.940
- magnetic moment (μB/atom) = 0.4426
- calculated density (kg/m³) = 2074

***

No. 2
A plane-wave DFT calculation with meta-GGA SCAN was carried out for a crystal of RbMg2GaTe relaxed with PBEsol.

The structure in CIF format:
```
data_RbMg2GaTe
_chemical_formula_sum 'Rb1 Mg2 Ga1 Te1'
_space_group_name_H-M_alt 'P 1'
_space_group_IT_number 1
_cell_length_a 5.992
_cell_length_b 5.992
_cell_length_c 5.895
_cell_angle_alpha 90.00
_cell_angle_beta 90.00
_cell_angle_gamma 90.00
loop_
_space_group_symop_operation_xyz
'x,y,z'
loop_
_atom_site_label
_atom_site_fract_x
_atom_site_fract_y
_atom_site_fract_z
Rb1 0.000 0.000 0.000
Mg1 0.000 0.500 0.000
Mg2 0.500 0.000 0.000
Ga1 0.000 0.000 0.500
Te1 0.500 0.500 0.500
```

Values from the calculation:
- uncorrected energy (eV/atom) = -15.72
- space group = No. 123
- formation energy from raw total energies (eV/atom) = 1.135
- magnetic moment (μB/atom) = 0.0000
- calculated density (kg/m³) = 2600

***

No. 3
A plane-wave DFT calculation with meta-GGA SCAN was carried out for a crystal of Mg3GaRe relaxed with PBEsol.

The structure in CIF format:
```
data_Mg3GaRe
_chemical_formula_sum 'Mg3 Ga1 Re1'
_space_group_name_H-M_alt 'P 1'
_space_group_IT_number 1
_cell_length_a 5.045
_cell_length_b 5.045
_cell_length_c 5.045
_cell_angle_alpha 90.00
_cell_angle_beta 90.00
_cell_angle_gamma 90.00
loop_
_space_group_symop_operation_xyz
'x,y,z'
loop_
_atom_site_label
_atom_site_fract_x
_atom_site_fract_y
_atom_site_fract_z
Mg1 0.000 0.000 0.500
Mg2 0.000 0.500 0.000
Mg3 0.500 0.000 0.000
Ga1 0.500 0.500 0.500
Re1 0.000 0.000 0.000
```

Values from the calculation:
- uncorrected energy (eV/atom) = -19.42
- space group = No. 221
- energy relative to the elements (eV per atom) = 1.057
- magnetic moment (μB/atom) = 0.1760
- calculated density (kg/m³) = 4252

***

No. 4
A plane-wave DFT calculation with meta-GGA SCAN was carried out for a crystal of MgTa2GaRe relaxed with PBEsol.

The structure in CIF format:
```
data_MgTa2GaRe
_chemical_formula_sum 'Mg1 Ta2 Ga1 Re1'
_space_group_name_H-M_alt 'P 1'
_space_group_IT_number 1
_cell_length_a 4.839
_cell_length_b 4.839
_cell_length_c 4.796
_cell_angle_alpha 90.00
_cell_angle_beta 90.00
_cell_angle_gamma 90.00
loop_
_space_group_symop_operation_xyz
'x,y,z'
loop_
_atom_site_label
_atom_site_fract_x
_atom_site_fract_y
_atom_site_fract_z
Mg1 0.000 0.000 0.000
Ta1 0.000 0.500 0.500
Ta2 0.500 0.000 0.500
Ga1 0.500 0.500 0.000
Re1 0.500 0.500 0.500
```

Values from the calculation:
- uncorrected energy (eV/atom) = -44.14
- space group = No. 123
- energy relative to the elements (eV per atom) = 0.973
- magnetic moment (μB/atom) = 0.0000
- calculated density (kg/m³) = 9497

***

No. 5
A plane-wave DFT calculation with meta-GGA SCAN was carried out for a crystal of MgGaRh2 relaxed with PBEsol.

The structure in CIF format:
```
data_MgGaRh2
_chemical_formula_sum 'Mg1 Ga1 Rh2'
_space_group_name_H-M_alt 'P 1'
_space_group_IT_number 1
_cell_length_a 4.272
_cell_length_b 4.272
_cell_length_c 4.272
_cell_angle_alpha 60.00
_cell_angle_beta 60.00
_cell_angle_gamma 60.00
loop_
_space_group_symop_operation_xyz
'x,y,z'
loop_
_atom_site_label
_atom_site_fract_x
_atom_site_fract_y
_atom_site_fract_z
Mg1 0.000 0.000 0.000
Ga1 0.500 0.500 0.500
Rh1 0.250 0.250 0.250
Rh2 0.750 0.750 0.750
```

Values from the calculation:
- uncorrected energy (eV/atom) = -22.98
- space group = No. 225
- energy relative to the elements (eV per atom) = -0.769
- magnetic moment (μB/atom) = 0.0000
- calculated density (kg/m³) = 9031

***

No. 6
A plane-wave DFT calculation with meta-GGA SCAN was carried out for a crystal of MgGa2Rh2 relaxed with PBEsol.

The structure in CIF format:
```
data_MgGa2Rh2
_chemical_formula_sum 'Mg1 Ga2 Rh2'
_space_group_name_H-M_alt 'P 1'
_space_group_IT_number 1
_cell_length_a 5.677
_cell_length_b 5.677
_cell_length_c 5.677
_cell_angle_alpha 137.06
_cell_angle_beta 137.06
_cell_angle_gamma 62.35
loop_
_space_group_symop_operation_xyz
'x,y,z'
loop_
_atom_site_label
_atom_site_fract_x
_atom_site_fract_y
_atom_site_fract_z
Mg1 0.000 0.000 0.000
Ga1 0.375 0.375 0.000
Ga2 0.625 0.625 0.000
Rh1 0.250 0.750 0.500
Rh2 0.750 0.250 0.500
```

Values from the calculation:
- uncorrected energy (eV/atom) = -21.58
- space group = No. 139
- energy relative to the elements (eV per atom) = -0.535
- magnetic moment (μB/atom) = 0.0000
- calculated density (kg/m³) = 7314
- relative energy among the computed polymorphs (kJ/mol of atoms) = 15.72

***

No. 7
A plane-wave DFT calculation with meta-GGA SCAN was carried out for a crystal of Mg2GaRh2 relaxed with PBEsol.

The structure in CIF format:
```
data_Mg2GaRh2
_chemical_formula_sum 'Mg4 Ga2 Rh4'
_space_group_name_H-M_alt 'P 1'
_space_group_IT_number 1
_cell_length_a 6.311
_cell_length_b 6.311
_cell_length_c 4.084
_cell_angle_alpha 90.00
_cell_angle_beta 90.00
_cell_angle_gamma 90.00
loop_
_space_group_symop_operation_xyz
'x,y,z'
loop_
_atom_site_label
_atom_site_fract_x
_atom_site_fract_y
_atom_site_fract_z
Mg1 0.163 0.337 0.000
Mg2 0.337 0.837 0.000
Mg3 0.663 0.163 0.000
Mg4 0.837 0.663 0.000
Ga1 0.000 0.000 0.500
Ga2 0.500 0.500 0.500
Rh1 0.144 0.644 0.500
Rh2 0.356 0.144 0.500
Rh3 0.644 0.856 0.500
Rh4 0.856 0.356 0.500
```

Values from the calculation:
- uncorrected energy (eV/atom) = -19.46
- space group = No. 127
- energy relative to the elements (eV per atom) = -0.697
- magnetic moment (μB/atom) = 0.0000
- calculated density (kg/m³) = 6619

***

No. 8
A plane-wave DFT calculation with meta-GGA SCAN was carried out for a crystal of MgGa2Rh2 relaxed with PBEsol.

The structure in CIF format:
```
data_MgGa2Rh2
_chemical_formula_sum 'Mg2 Ga4 Rh4'
_space_group_name_H-M_alt 'P 1'
_space_group_IT_number 1
_cell_length_a 7.128
_cell_length_b 7.128
_cell_length_c 2.932
_cell_angle_alpha 90.00
_cell_angle_beta 90.00
_cell_angle_gamma 90.00
loop_
_space_group_symop_operation_xyz
'x,y,z'
loop_
_atom_site_label
_atom_site_fract_x
_atom_site_fract_y
_atom_site_fract_z
Mg1 0.000 0.000 0.000
Mg2 0.500 0.500 0.000
Ga1 0.150 0.350 0.500
Ga2 0.350 0.850 0.500
Ga3 0.650 0.150 0.500
Ga4 0.850 0.650 0.500
Rh1 0.147 0.647 0.000
Rh2 0.353 0.147 0.000
Rh3 0.647 0.853 0.000
Rh4 0.853 0.353 0.000
```

Values from the calculation:
- uncorrected energy (eV/atom) = -21.74
- space group = No. 127
- energy relative to the elements (eV per atom) = -0.698
- magnetic moment (μB/atom) = 0.0000
- calculated density (kg/m³) = 8239
- relative energy among the computed polymorphs (kJ/mol of atoms) = 0.00